Here is a geometry-optimized V2InB structure from the Alexandria database. Energies are from PBE.

Values from the calculation:
**Formation energy from the elements**: 0.75 eV/atom
**M_tot**: 0.29 μB per atom
**Calculated total energy**: -98.59 eV per cell
**Energy relative to the lowest polymorph listed for this composition**: 624.5 meV/atom

a = 6.014 Å, b = 6.014 Å, c = 6.014 Å
α = 90.00°, β = 90.00°, γ = 90.00°
Space group Fm-3m (No. 225)
Symmetry-distinct sites (fractional):
V 0.250 0.250 0.250 (multiplicity 8)
In 0.000 0.000 0.000 (multiplicity 4)
B 0.000 0.000 0.500 (multiplicity 4)